1.
Entry from the Alexandria database: a geometry-optimized Ti2VFePt structure (PBE).

Results
calculated formation energy: 364 kJ/mol of formula units
SG: P4/mmm
total energy: -7.127 eV/atom

POSCAR file:
```
Ti2VFePt
1.0
-3.887 1.833 0.932
-1.988 -2.593 -3.187
-0.750 -3.120 3.006
Ti Pt V Fe
2 1 1 1
Cartesian
-1.943 0.917 0.466
-0.375 -1.560 1.503
-0.994 -1.297 -1.594
0.000 0.000 0.000
-3.312 -1.940 0.376
```

2.
Entry from the Alexandria database: a geometry-optimized LiZnW structure (PBE).

Results
calculated formation energy: 333 kJ/mol of formula units
distance to the lowest polymorph of the same formula: 904 meV/atom
SG: F-43m
total energy: -4.228 eV/atom

POSCAR file:
```
LiZnW
1.0
-2.462 -1.094 -3.129
1.640 -1.223 -3.587
-0.252 -3.960 -1.142
Zn W Li
1 1 1
Cartesian
-0.806 -4.707 -5.893
-0.537 -3.138 -3.929
0.000 0.000 0.000
```

3.
Entry from the Alexandria database: a geometry-optimized TaCd2TeC structure (PBE).

Results
SG: P4/mmm
uncorrected formation energy: 1885 meV per atom
total energy: -3.325 eV/atom

POSCAR file:
```
TaCd2TeC
1.0
5.603 0.000 0.000
0.000 5.200 0.000
0.000 0.000 5.603
C Ta Te Cd
1 1 1 2
Cartesian
2.802 2.600 2.802
0.000 0.000 0.000
0.000 2.600 0.000
0.000 0.000 2.802
2.802 0.000 0.000
```

4.
Entry from the Alexandria database: a geometry-optimized TaFeMoPt2 structure (PBE).

Results
calculated formation energy: 437 kJ/mol of formula units
SG: P4/mmm
total energy: -7.740 eV/atom

POSCAR file:
```
TaFeMoPt2
1.0
-4.320 1.489 -0.159
-1.049 -2.704 3.166
0.998 3.225 3.084
Mo Pt Fe Ta
1 2 1 1
Cartesian
-0.524 -1.352 1.583
0.499 1.613 1.542
-2.160 0.745 -0.080
0.000 0.000 0.000
-2.186 1.005 3.046
```

5.
Entry from the Alexandria database: a geometry-optimized Pr4Sm3Pu structure (PBE).

Results
calculated formation energy: 114 kJ/mol of formula units
SG: Immm
total energy: -5.803 eV/atom

POSCAR file:
```
Pr4Sm3Pu
1.0
0.576 -1.485 -3.152
9.466 -5.541 4.342
-8.809 -1.610 1.126
Pr Sm Pu
4 3 1
Cartesian
6.407 -6.242 2.134
-0.423 -5.175 2.361
1.656 -3.461 -0.045
-5.174 -2.394 0.182
4.733 -2.770 2.171
-1.751 -2.367 0.795
2.983 -6.269 1.521
0.288 -0.743 -1.576
```

6.
Entry from the Alexandria database: a geometry-optimized CeZn5CdAu2 structure (PBE).

Results
calculated formation energy: -37 kJ/mol of formula units
SG: P4/mmm
total energy: -2.240 eV/atom

POSCAR file:
```
CeZn5CdAu2
1.0
-3.990 -0.902 2.754
0.439 -4.820 -0.942
4.446 -0.802 6.180
Au Zn Cd Ce
2 5 1 1
Cartesian
1.894 -3.523 6.006
-0.999 -3.001 1.986
0.448 -3.262 3.996
1.299 -2.605 1.030
-0.915 -0.646 2.877
1.371 -1.058 6.056
3.586 -3.018 4.209
0.000 0.000 0.000
2.223 -0.401 3.090
```